Computed, not measured: an optimized crystal structure of Pu2CoB10 at the PBE-GGA level of DFT.

Results
spin magnetization: 0.79 μB per atom
formation energy from the elements: -0.4489 eV/atom
DOS(E_F): 31.61 states/eV/cell
raw total energy: -8.34 eV per atom

Unit cell a=5.5587 b=11.0654 c=4.1403 alpha=90.00 beta=90.00 gamma=90.00
Last column: nearest neighbours and their distance in Å.
Positions (direct):
Pu  0.1920  0.1367  0.0000  20 B 2.84-2.99, 2 Co 3.08
Pu  0.3080  0.6367  0.0000  20 B 2.84-2.99, 2 Co 3.08
Pu  0.6920  0.3633  0.0000  20 B 2.84-2.99, 2 Co 3.08
Pu  0.8080  0.8633  0.0000  20 B 2.84-2.99, 2 Co 3.08
Co  0.0000  0.5000  0.5000  8 B 2.07-2.11
Co  0.5000  0.0000  0.5000  8 B 2.07-2.11
B  0.0288  0.3138  0.5000  4 B 1.65-1.77
B  0.1283  0.9610  0.5000  4 B 1.67-1.77
B  0.1580  0.8024  0.5000  5 B 1.65-1.76
B  0.1992  0.3877  0.1992  4 B 1.65-1.77
B  0.1992  0.3877  0.8008  4 B 1.65-1.77
B  0.3008  0.8877  0.1992  4 B 1.65-1.77
B  0.3008  0.8877  0.8008  4 B 1.65-1.77
B  0.3420  0.3024  0.5000  5 B 1.65-1.76
B  0.3717  0.4610  0.5000  4 B 1.67-1.77
B  0.4712  0.8138  0.5000  4 B 1.65-1.77
B  0.5288  0.1862  0.5000  4 B 1.65-1.77
B  0.6283  0.5390  0.5000  4 B 1.67-1.77
B  0.6580  0.6976  0.5000  5 B 1.65-1.76
B  0.6992  0.1123  0.1992  4 B 1.65-1.77
B  0.6992  0.1123  0.8008  4 B 1.65-1.77
B  0.8008  0.6123  0.1992  4 B 1.65-1.77
B  0.8008  0.6123  0.8008  4 B 1.65-1.77
B  0.8420  0.1976  0.5000  5 B 1.65-1.76
B  0.8717  0.0390  0.5000  4 B 1.67-1.77
B  0.9712  0.6862  0.5000  4 B 1.65-1.77

***

Computed, not measured: an optimized crystal structure of PuCo2B2 at the PBE-GGA level of DFT.

Results
spin magnetization: 0.91 μB per atom
formation energy from the elements: -0.2747 eV/atom
DOS(E_F): 20.93 states/eV/cell
raw total energy: -8.65 eV per atom

Unit cell a=3.7695 b=3.3878 c=9.0263 alpha=90.00 beta=93.28 gamma=90.00
Last column: nearest neighbours and their distance in Å.
Positions (direct):
Pu  0.2174  0.2500  0.2485  7 B 2.63-2.81, 4 Co 2.82-2.83
Pu  0.7826  0.7500  0.7515  7 B 2.63-2.81, 4 Co 2.82-2.83
Co  0.2499  0.7500  0.4989  4 B 2.01-2.16
Co  0.3414  0.2500  0.9110  4 B 2.01-2.07
Co  0.6586  0.7500  0.0890  4 B 2.01-2.07
Co  0.7501  0.2500  0.5011  4 B 2.01-2.16
B  0.1460  0.7500  0.0090  4 Co 2.01-2.07, 2 B 2.02
B  0.2659  0.2500  0.6183  4 Co 2.01-2.16
B  0.7341  0.7500  0.3817  4 Co 2.01-2.16
B  0.8540  0.2500  0.9910  4 Co 2.01-2.07, 2 B 2.02

***

Computed, not measured: an optimized crystal structure of Pu2Co5B4 at the PBE-GGA level of DFT.

Results
spin magnetization: 0.96 μB per atom
formation energy from the elements: -0.3758 eV/atom
DOS(E_F): 21.02 states/eV/cell
raw total energy: -8.64 eV per atom

Unit cell a=7.0596 b=5.8484 c=5.3350 alpha=78.14 beta=54.17 gamma=47.69
Last column: nearest neighbours and their distance in Å.
Positions (direct):
Pu  0.1416  0.1416  0.8584  6 B 2.82-2.94, 10 Co 2.90-3.06, 1 Pu 2.99
Pu  0.8584  0.8584  0.1416  6 B 2.82-2.94, 10 Co 2.90-3.06, 1 Pu 2.99
Co  0.0000  0.0000  0.5000  4 B 2.06
Co  0.2500  0.2500  0.2500  4 B 1.98
Co  0.5000  0.5000  0.0000  4 B 2.06
Co  0.5000  0.5000  0.5000  4 B 2.02
Co  0.7500  0.7500  0.7500  4 B 1.98
B  0.2117  0.5267  0.4733  5 Co 1.98-2.06
B  0.4733  0.7883  0.2117  5 Co 1.98-2.06
B  0.5267  0.2117  0.7883  5 Co 1.98-2.06
B  0.7883  0.4733  0.5267  5 Co 1.98-2.06

***

Computed, not measured: an optimized crystal structure of PuCo4B4 at the PBE-GGA level of DFT.

Results
spin magnetization: 0.57 μB per atom
formation energy from the elements: -0.3984 eV/atom
DOS(E_F): 27.62 states/eV/cell
raw total energy: -8.12 eV per atom

Unit cell a=6.9638 b=6.9638 c=3.8118 alpha=90.00 beta=90.00 gamma=90.00
Last column: nearest neighbours and their distance in Å.
Positions (direct):
Pu  0.2500  0.2500  0.2500  8 B 2.77-2.80, 8 Co 2.85-3.03
Pu  0.7500  0.7500  0.7500  8 B 2.77-2.80, 8 Co 2.85-3.03
Co  0.1104  0.6308  0.1409  4 B 1.99-2.03
Co  0.1308  0.8896  0.6409  4 B 1.99-2.03
Co  0.3692  0.6104  0.6409  4 B 1.99-2.03
Co  0.3896  0.8692  0.1409  4 B 1.99-2.03
Co  0.6104  0.1308  0.8591  4 B 1.99-2.03
Co  0.6308  0.3896  0.3591  4 B 1.99-2.03
Co  0.8692  0.1104  0.3591  4 B 1.99-2.03
Co  0.8896  0.3692  0.8591  4 B 1.99-2.03
B  0.0483  0.9121  0.1440  1 B 1.78, 1 Co 1.99
B  0.0879  0.5483  0.6440  1 B 1.78, 1 Co 1.99
B  0.4121  0.9517  0.6440  1 B 1.78, 1 Co 1.99
B  0.4517  0.5879  0.1440  1 B 1.78, 1 Co 1.99
B  0.5483  0.4121  0.8560  1 B 1.78, 1 Co 1.99
B  0.5879  0.0483  0.3560  1 B 1.78, 1 Co 1.99
B  0.9121  0.4517  0.3560  1 B 1.78, 1 Co 1.99
B  0.9517  0.0879  0.8560  1 B 1.78, 1 Co 1.99

***

Computed, not measured: an optimized crystal structure of Pu2CoB2Rh5 at the PBE-GGA level of DFT.

Results
spin magnetization: 1.20 μB per atom
formation energy from the elements: -0.3588 eV/atom
DOS(E_F): 53.90 states/eV/cell
raw total energy: -8.95 eV per atom

Unit cell a=9.6390 b=9.6390 c=3.1185 alpha=90.00 beta=90.00 gamma=90.00
Last column: nearest neighbours and their distance in Å.
Positions (direct):
Pu  0.1783  0.3217  0.0000  3 B 2.71-2.95, 10 Rh 2.89-3.00
Pu  0.3217  0.8217  0.0000  3 B 2.71-2.95, 10 Rh 2.89-3.00
Pu  0.6783  0.1783  0.0000  3 B 2.71-2.95, 10 Rh 2.89-3.00
Pu  0.8217  0.6783  0.0000  3 B 2.71-2.95, 10 Rh 2.89-3.00
Co  0.0000  0.0000  0.0000  8 Rh 2.72
Co  0.5000  0.5000  0.0000  8 Rh 2.72
B  0.1227  0.6227  0.0000  6 Rh 2.23-2.29
B  0.3773  0.1227  0.0000  6 Rh 2.23-2.29
B  0.6227  0.8773  0.0000  6 Rh 2.23-2.29
B  0.8773  0.3773  0.0000  6 Rh 2.23-2.29
Rh  0.0000  0.5000  0.5000  4 B 2.29
Rh  0.0683  0.7786  0.5000  2 B 2.23
Rh  0.2214  0.0683  0.5000  2 B 2.23
Rh  0.2786  0.5683  0.5000  2 B 2.23
Rh  0.4317  0.2786  0.5000  2 B 2.23
Rh  0.5000  0.0000  0.5000  4 B 2.29
Rh  0.5683  0.7214  0.5000  2 B 2.23
Rh  0.7214  0.4317  0.5000  2 B 2.23
Rh  0.7786  0.9317  0.5000  2 B 2.23
Rh  0.9317  0.2214  0.5000  2 B 2.23

***

Computed, not measured: an optimized crystal structure of Pu3CoB2Rh9 at the PBE-GGA level of DFT.

Results
spin magnetization: 1.05 μB per atom
formation energy from the elements: -0.3091 eV/atom
DOS(E_F): 43.98 states/eV/cell
raw total energy: -8.95 eV per atom

Unit cell a=5.8437 b=5.8437 c=8.2145 alpha=90.00 beta=90.00 gamma=120.00
Last column: nearest neighbours and their distance in Å.
Positions (direct):
Pu  0.0000  0.0000  0.0000  12 Rh 2.92-2.94
Pu  0.3333  0.6667  0.6393  9 Rh 2.97-3.31
Pu  0.6667  0.3333  0.3607  9 Rh 2.97-3.31
Co  0.0000  0.0000  0.5000  6 Rh 2.40
B  0.3333  0.6667  0.1494  6 Rh 2.06-2.09
B  0.6667  0.3333  0.8506  6 Rh 2.06-2.09
Rh  0.0000  0.5000  0.0000  2 B 2.09
Rh  0.1668  0.3336  0.2926  1 B 2.06
Rh  0.1668  0.8332  0.2926  1 B 2.06
Rh  0.3336  0.1668  0.7074  1 B 2.06
Rh  0.5000  0.0000  0.0000  2 B 2.09
Rh  0.5000  0.5000  0.0000  2 B 2.09
Rh  0.6664  0.8332  0.2926  1 B 2.06
Rh  0.8332  0.1668  0.7074  1 B 2.06
Rh  0.8332  0.6664  0.7074  1 B 2.06